Record 1
HfOs2Pb2 | GGA-PBE | relaxed

a b c (Å): 4.077 4.077 7.156
angles (deg): 73.45 73.45 90.00
Element x y z (fractional)
Pb  0.750  0.250  0.500
Pb  0.250  0.750  0.500
Hf  0.000  0.000  0.000
Os  0.409  0.409  0.181
Os  0.591  0.591  0.819

Results
Calculated formation energy ... 756.7 meV/atom
Final energy ... -36.0 eV/cell
Relative energy among the computed polymorphs ... 254 meV per atom

Record 2
HfOs3Pb | GGA-PBE | relaxed

a b c (Å): 4.883 4.883 4.883
angles (deg): 90.00 90.00 90.00
Site moments in Bohr magnetons follow the coordinates.
Element x y z (fractional)
Pb  0.500  0.500  0.500  -0.01
Hf  0.000  0.000  0.000  -0.04
Os  0.000  0.500  0.000  0.31
Os  0.000  0.000  0.500  0.26
Os  0.500  0.000  0.000  0.35

Results
Calculated formation energy ... 2097.1 meV/atom
Final energy ... -36.9 eV/cell
Relative energy among the computed polymorphs ... 0 meV per atom

Record 3
Hf4OsPb | GGA-PBE | relaxed

a b c (Å): 5.651 8.117 7.413
angles (deg): 114.91 101.52 109.36
Element x y z (fractional)
Hf  0.044  0.193  0.831
Hf  0.777  0.710  0.643
Hf  0.288  0.639  0.831
Hf  0.366  0.932  0.643
Hf  0.634  0.068  0.357
Hf  0.712  0.361  0.169
Hf  0.223  0.290  0.357
Hf  0.956  0.807  0.169
Os  0.247  0.997  0.994
Os  0.753  0.003  0.006
Pb  0.368  0.618  0.236
Pb  0.632  0.382  0.764

Results
Calculated formation energy ... -155.9 meV/atom
Final energy ... -111.4 eV/cell

Record 4
HfOsPb2 | GGA-PBE | relaxed

a b c (Å): 4.914 4.914 4.914
angles (deg): 60.00 60.00 60.00
Element x y z (fractional)
Pb  0.250  0.250  0.250
Pb  0.750  0.750  0.750
Hf  0.000  0.000  0.000
Os  0.500  0.500  0.500

Results
Calculated formation energy ... 638.9 meV/atom
Final energy ... -26.0 eV/cell
Relative energy among the computed polymorphs ... 0 meV per atom